DFT (GGA-PBE) results for an optimized crystal structure of CdPbBr.

Properties
DOS at the Fermi energy = 0.79 states/eV/f.u.
raw formation energy = -0.2278 eV/atom
ΔE to the lowest computed polymorph = 36 meV per atom
uncorrected energy = -2.33 eV per atom

abc: 3.9756 6.2045 14.3405
angles: 90.00 90.00 90.00
Last column: nearest neighbours and their distance in Å.
Space group Fmm2 (No. 42)
Inequivalent atoms, fractional coordinates:
1 Cd 0.0000 0.0000 0.0000 x4  2 Br 2.85, 2 Pb 3.14
2 Pb 0.0000 0.0000 0.3303 x4  2 Cd 3.14, 2 Br 3.35
3 Br 0.0000 0.0000 0.6425 x4  2 Cd 2.85

DFT (GGA-PBE) results for an optimized crystal structure of Cd2PbBr2.

Properties
DOS at the Fermi energy = 2.88 states/eV/f.u.
raw formation energy = -0.3130 eV/atom
ΔE to the lowest computed polymorph = 0 meV per atom
uncorrected energy = -2.09 eV per atom

abc: 4.0061 4.0061 19.9645
angles: 90.00 90.00 90.00
Last column: nearest neighbours and their distance in Å.
Space group I4/mmm (No. 139)
Inequivalent atoms, fractional coordinates:
1 Cd 0.0000 0.5000 0.2500 x4  4 Cd 2.83
2 Pb 0.0000 0.0000 0.0000 x2  8 Br 3.32
3 Br 0.0000 0.0000 0.4134 x4  4 Pb 3.32, 1 Br 3.46

DFT (GGA-PBE) results for an optimized crystal structure of Cd2PtPbBr.

Properties
DOS at the Fermi energy = 2.29 states/eV/f.u.
raw formation energy = -0.2646 eV/atom
uncorrected energy = -2.92 eV per atom

abc: 5.3147 5.3147 5.2746
angles: 90.00 90.00 90.00
Last column: nearest neighbours and their distance in Å.
Space group P4/mmm (No. 123)
Inequivalent atoms, fractional coordinates:
1 Cd 0.0000 0.5000 0.0000 x2  2 Pt 2.66
2 Pt 0.0000 0.0000 0.0000 x1  2 Pb 2.64, 4 Cd 2.66
3 Pb 0.0000 0.0000 0.5000 x1  2 Pt 2.64
4 Br 0.5000 0.5000 0.5000 x1  8 Cd 3.74, 4 Pb 3.76

DFT (GGA-PBE) results for an optimized crystal structure of RbCd2PbBr8.

Properties
DOS at the Fermi energy = 24.28 states/eV/f.u.
raw formation energy = -0.8302 eV/atom
uncorrected energy = -2.49 eV per atom

abc: 10.6150 10.6150 8.8122
angles: 90.00 90.00 90.00
Last column: nearest neighbours and their distance in Å.
Space group I-4m2 (No. 119)
Inequivalent atoms, fractional coordinates:
1 Rb 0.0000 0.0000 0.0000 x2  8 Br 3.46-3.56
2 Cd 0.0000 0.0000 0.5000 x2  4 Br 2.64
3 Cd 0.0000 0.5000 0.7500 x2  4 Br 2.63
4 Pb 0.0000 0.5000 0.2500 x2  8 Br 3.17-3.24
5 Br 0.0000 0.2010 0.3241 x8  1 Cd 2.64
6 Br 0.0000 0.3238 0.9594 x8  1 Cd 2.63

DFT (GGA-PBE) results for an optimized crystal structure of Rb4Cd3PbBr12.

Properties
DOS at the Fermi energy = 0.00 states/eV/f.u.
raw formation energy = -1.1992 eV/atom
uncorrected energy = -2.72 eV per atom

abc: 11.3416 11.3416 11.3416
angles: 90.00 90.00 90.00
Last column: nearest neighbours and their distance in Å.
Space group Im-3m (No. 229)
Inequivalent atoms, fractional coordinates:
1 Rb 0.2500 0.2500 0.2500 x8  12 Br 4.01
2 Cd 0.0000 0.0000 0.5000 x6  6 Br 2.73-2.84
3 Pb 0.0000 0.0000 0.0000 x2  6 Br 2.94
4 Br 0.0000 0.0000 0.2596 x12  1 Cd 2.73, 1 Pb 2.94
5 Br 0.0000 0.2500 0.5000 x12  2 Cd 2.84

DFT (GGA-PBE) results for an optimized crystal structure of Rb2CdPbBr6.

Properties
DOS at the Fermi energy = 0.00 states/eV/f.u.
raw formation energy = -1.2110 eV/atom
uncorrected energy = -2.87 eV per atom

abc: 8.0315 8.0315 6.1211
angles: 90.00 90.00 90.00
Last column: nearest neighbours and their distance in Å.
Space group P4mm (No. 99)
Inequivalent atoms, fractional coordinates:
1 Rb 0.0000 0.5000 0.0000 x2  8 Br 3.65-4.06
2 Cd 0.0000 0.0000 0.5279 x1  5 Br 2.63-2.78
3 Pb 0.5000 0.5000 0.5646 x1  6 Br 2.93-3.19
4 Br 0.0000 0.0000 0.0990 x1  1 Cd 2.63
5 Br 0.2386 0.2386 0.6268 x4  1 Cd 2.78, 1 Pb 2.99
6 Br 0.5000 0.5000 0.0851 x1  2 Pb 2.93-3.19

DFT (GGA-PBE) results for an optimized crystal structure of Rb2CdPbBr6.

Properties
DOS at the Fermi energy = 0.00 states/eV/f.u.
raw formation energy = -1.2107 eV/atom
uncorrected energy = -2.87 eV per atom

abc: 11.5321 11.5321 11.5321
angles: 90.00 90.00 90.00
Last column: nearest neighbours and their distance in Å.
Space group Fm-3m (No. 225)
Inequivalent atoms, fractional coordinates:
1 Rb 0.2500 0.2500 0.2500 x8  12 Br 4.08
2 Cd 0.0000 0.0000 0.0000 x4  6 Br 2.79
3 Pb 0.0000 0.0000 0.5000 x4  6 Br 2.98
4 Br 0.0000 0.0000 0.2416 x24  1 Cd 2.79, 1 Pb 2.98

DFT (GGA-PBE) results for an optimized crystal structure of CdRhPb2Br.

Properties
DOS at the Fermi energy = 2.01 states/eV/f.u.
raw formation energy = -0.2250 eV/atom
uncorrected energy = -3.70 eV per atom

abc: 5.2517 5.2517 5.3021
angles: 90.00 90.00 90.00
Last column: nearest neighbours and their distance in Å.
Space group P4/mmm (No. 123)
Inequivalent atoms, fractional coordinates:
1 Cd 0.0000 0.0000 0.0000 x1  2 Rh 2.65
2 Rh 0.0000 0.0000 0.5000 x1  4 Pb 2.63, 2 Cd 2.65
3 Pb 0.0000 0.5000 0.5000 x2  2 Rh 2.63
4 Br 0.5000 0.5000 0.0000 x1  4 Cd 3.71, 8 Pb 3.73

DFT (GGA-PBE) results for an optimized crystal structure of CdPb2SBr.

Properties
DOS at the Fermi energy = 2.69 states/eV/f.u.
raw formation energy = 0.5529 eV/atom
uncorrected energy = -2.27 eV per atom

abc: 5.7946 5.7946 5.4803
angles: 90.00 90.00 90.00
Last column: nearest neighbours and their distance in Å.
Space group P4/mmm (No. 123)
Inequivalent atoms, fractional coordinates:
1 Cd 0.0000 0.0000 0.0000 x1  2 Br 2.74
2 Pb 0.0000 0.5000 0.5000 x2  2 Br 2.90
3 S 0.5000 0.5000 0.0000 x1  8 Pb 3.99, 4 Cd 4.10
4 Br 0.0000 0.0000 0.5000 x1  2 Cd 2.74, 4 Pb 2.90

DFT (GGA-PBE) results for an optimized crystal structure of CdPbSe2Br.

Properties
DOS at the Fermi energy = 2.89 states/eV/f.u.
raw formation energy = -0.1021 eV/atom
ΔE to the lowest computed polymorph = 0 meV per atom
uncorrected energy = -2.76 eV per atom

abc: 5.2323 5.2323 5.4685
angles: 90.00 90.00 90.00
Last column: nearest neighbours and their distance in Å.
Space group P4/mmm (No. 123)
Inequivalent atoms, fractional coordinates:
1 Cd 0.0000 0.0000 0.0000 x1  4 Se 2.62, 2 Br 2.73
2 Pb 0.5000 0.5000 0.5000 x1  4 Br 3.70, 8 Se 3.78
3 Se 0.0000 0.5000 0.0000 x2  2 Cd 2.62
4 Br 0.0000 0.0000 0.5000 x1  2 Cd 2.73

DFT (GGA-PBE) results for an optimized crystal structure of Cd2SnPbBr8.

Properties
DOS at the Fermi energy = 0.00 states/eV/f.u.
raw formation energy = -0.7761 eV/atom
uncorrected energy = -2.69 eV per atom

abc: 9.7989 9.7989 9.2598
angles: 90.00 90.00 90.00
Last column: nearest neighbours and their distance in Å.
Space group I-4m2 (No. 119)
Inequivalent atoms, fractional coordinates:
1 Cd 0.0000 0.0000 0.0000 x2  4 Br 2.63
2 Cd 0.0000 0.5000 0.2500 x2  4 Br 2.63
3 Sn 0.0000 0.0000 0.5000 x2  8 Br 3.07-3.30
4 Pb 0.0000 0.5000 0.7500 x2  8 Br 3.10-3.34
5 Br 0.0000 0.1868 0.7963 x8  1 Cd 2.63
6 Br 0.0000 0.3094 0.4504 x8  1 Cd 2.63

DFT (GGA-PBE) results for an optimized crystal structure of Sr2CdPbBr8.

Properties
DOS at the Fermi energy = 0.00 states/eV/f.u.
raw formation energy = -1.4717 eV/atom
uncorrected energy = -3.25 eV per atom

abc: 6.8172 9.0869 7.1162
angles: 90.00 90.21 90.00
Last column: nearest neighbours and their distance in Å.
Space group P2/m (No. 10)
Inequivalent atoms, fractional coordinates:
1 Sr 0.0000 0.2421 0.0000 x2  6 Br 3.04-3.11
2 Cd 0.5000 0.0000 0.5000 x1  6 Br 2.83-2.87
3 Pb 0.5000 0.5000 0.5000 x1  6 Br 3.04-3.08
4 Br 0.2376 0.5000 0.1544 x2  1 Pb 3.04, 2 Sr 3.05
5 Br 0.2499 0.0000 0.1746 x2  1 Cd 2.87, 2 Sr 3.04
6 Br 0.2737 0.2325 0.6515 x4  1 Cd 2.83, 1 Pb 3.08, 1 Sr 3.11